# InP2RhS (PBE-GGA, optimized geometry)
data_InP2RhS
_chemical_formula_sum 'In1 P2 Rh1 S1'
_cell_length_a 4.921
_cell_length_b 4.921
_cell_length_c 4.918
_cell_angle_alpha 90.00
_cell_angle_beta 90.00
_cell_angle_gamma 90.00
_symmetry_space_group_name_H-M 'P 4/m m m'
_symmetry_Int_Tables_number 123
_symmetry_space_group_name_Hall '-P 4 2'
loop_
_atom_site_label
_atom_site_type_symbol
_atom_site_fract_x
_atom_site_fract_y
_atom_site_fract_z
In1 In 0.000 0.000 0.000
P1 P 0.000 0.500 0.000
Rh1 Rh 0.500 0.500 0.500
S1 S 0.000 0.000 0.500
# Relative energy among the computed polymorphs (meV per atom): 1096
# Density (g cm⁻³): 4.35
# E_tot (eV/atom): -3.5542
# Formation energy (no corrections) (meV per atom): 1453.2